VASP calculation (PBE-GGA) on a relaxed Ca2FePdPb crystal.

Geometry as POSCAR:
```
Ca2FePdPb
1.0
-2.7298 1.6118 -5.0080
-0.2747 -4.8603 -1.4145
-5.2511 -0.4903 2.7046
Pb Ca Fe Pd
1 2 1 1
Cartesian
0.0000 0.0000 0.0000 Pb
-2.6256 -0.2452 1.3523 Ca
-1.3649 0.8059 -2.5040 Ca
-4.1279 -1.8694 -1.8590 Fe
-0.1374 -2.4301 -0.7073 Pd
```

=====

VASP calculation (PBE-GGA) on a relaxed CaTaFePb2 crystal.

Geometry as POSCAR:
```
CaTaFePb2
1.0
5.5178 0.0000 0.0000
0.0000 4.7147 0.0000
0.0000 0.0000 5.5178
Pb Ca Fe Ta
2 1 1 1
Cartesian
0.0000 0.0000 2.7589 Pb
2.7589 0.0000 0.0000 Pb
2.7589 2.3574 2.7589 Ca
0.0000 2.3574 0.0000 Fe
0.0000 0.0000 0.0000 Ta
```

=====

VASP calculation (PBE-GGA) on a relaxed CaFePd3 crystal.

Calculated values
The energy above the most stable polymorph in this dataset comes out at 0.0000 eV/atom.

Geometry as POSCAR:
```
CaFePd3
1.0
4.6982 0.0000 0.0000
0.0000 4.6982 0.0000
0.0000 0.0000 4.6982
Ca Fe Pd
1 1 3
Cartesian
2.3491 2.3491 2.3491 Ca
0.0000 0.0000 0.0000 Fe
0.0000 2.3491 0.0000 Pd
0.0000 0.0000 2.3491 Pd
2.3491 0.0000 0.0000 Pd
```

=====

no.,size of the total moment (μB/f.u.),energy of formation from the pure elements (eV/atom)
1,3.48,0.704
2,2.19,0.597
3,3.84,0.055